(1)
# NaAc2F6 (GGA-PBE, optimized geometry)
data_NaAc2F6
_cell_length_a 6.334
_cell_length_b 6.812
_cell_length_c 8.925
_cell_angle_alpha 90.00
_cell_angle_beta 91.85
_cell_angle_gamma 90.00
_space_group_name_H-M_alt 'P 1'
_space_group_IT_number 1
loop_
_space_group_symop_operation_xyz
'x,y,z'
loop_
_atom_site_label
_atom_site_type_symbol
_atom_site_fract_x
_atom_site_fract_y
_atom_site_fract_z
_atom_site_occupancy
Na1 Na 0.500 0.500 0.000 1
Na2 Na 0.000 0.000 0.500 1
Ac1 Ac 0.997 0.493 0.766 1
Ac2 Ac 0.503 0.993 0.734 1
Ac3 Ac 0.497 0.007 0.266 1
Ac4 Ac 0.003 0.507 0.234 1
F1 F 0.830 0.821 0.302 1
F2 F 0.832 0.811 0.694 1
F3 F 0.831 0.627 0.996 1
F4 F 0.669 0.127 0.504 1
F5 F 0.668 0.311 0.806 1
F6 F 0.670 0.321 0.198 1
F7 F 0.170 0.179 0.698 1
F8 F 0.168 0.189 0.306 1
F9 F 0.169 0.373 0.004 1
F10 F 0.331 0.873 0.496 1
F11 F 0.332 0.689 0.194 1
F12 F 0.330 0.679 0.802 1
# * DFT total energy: -5.892 eV per atom
# * crystal system: monoclinic
# * formation energy from raw total energies: -82.7 kcal/mol of atoms
# * space-group type: No. 14
# * magnetic moment: 0.877 μB per formula unit
# * calculated density: 5.10 g/cm3

---

(2)
# Ca2Zn4Si3Pd (GGA-PBE, optimized geometry)
data_Ca2Zn4Si3Pd
_cell_length_a 4.116
_cell_length_b 4.116
_cell_length_c 10.749
_cell_angle_alpha 90.00
_cell_angle_beta 90.00
_cell_angle_gamma 90.00
_space_group_name_H-M_alt 'P 1'
_space_group_IT_number 1
loop_
_space_group_symop_operation_xyz
'x,y,z'
loop_
_atom_site_label
_atom_site_type_symbol
_atom_site_fract_x
_atom_site_fract_y
_atom_site_fract_z
_atom_site_occupancy
Ca1 Ca 0.500 0.000 0.248 1
Ca2 Ca 0.000 0.500 0.752 1
Zn1 Zn 0.500 0.500 0.000 1
Zn2 Zn 0.000 0.000 0.000 1
Zn3 Zn 0.500 0.000 0.639 1
Zn4 Zn 0.000 0.500 0.361 1
Si1 Si 0.000 0.000 0.500 1
Si2 Si 0.500 0.000 0.863 1
Si3 Si 0.000 0.500 0.137 1
Pd1 Pd 0.500 0.500 0.500 1
# * DFT total energy: -3.411 eV per atom
# * crystal system: tetragonal
# * formation energy from raw total energies: -8.2 kcal/mol of atoms
# * space-group type: No. 115
# * magnetic moment: 0.000 μB per formula unit
# * calculated density: 4.86 g/cm3

---

(3)
# CrCoSi2 (GGA-PBE, optimized geometry)
data_CrCoSi2
_cell_length_a 7.773
_cell_length_b 7.773
_cell_length_c 7.773
_cell_angle_alpha 19.70
_cell_angle_beta 19.70
_cell_angle_gamma 19.70
_space_group_name_H-M_alt 'P 1'
_space_group_IT_number 1
loop_
_space_group_symop_operation_xyz
'x,y,z'
loop_
_atom_site_label
_atom_site_type_symbol
_atom_site_fract_x
_atom_site_fract_y
_atom_site_fract_z
_atom_site_occupancy
Co1 Co 0.250 0.250 0.250 1
Cr1 Cr 0.750 0.750 0.750 1
Si1 Si 0.996 0.996 0.996 1
Si2 Si 0.504 0.504 0.504 1
# * DFT total energy: -7.102 eV per atom
# * crystal system: trigonal
# * formation energy from raw total energies: -4.8 kcal/mol of atoms
# * space-group type: No. 166
# * magnetic moment: 1.113 μB per formula unit
# * calculated density: 5.94 g/cm3

---

(4)
# La3InO (GGA-PBE, optimized geometry)
data_La3InO
_cell_length_a 9.779
_cell_length_b 9.779
_cell_length_c 6.106
_cell_angle_alpha 90.00
_cell_angle_beta 90.00
_cell_angle_gamma 133.94
_space_group_name_H-M_alt 'P 1'
_space_group_IT_number 1
loop_
_space_group_symop_operation_xyz
'x,y,z'
loop_
_atom_site_label
_atom_site_type_symbol
_atom_site_fract_x
_atom_site_fract_y
_atom_site_fract_z
_atom_site_occupancy
In1 In 0.169 0.831 0.250 1
In2 In 0.831 0.169 0.750 1
O1 O 0.379 0.621 0.250 1
O2 O 0.621 0.379 0.750 1
La1 La 0.080 0.426 0.250 1
La2 La 0.574 0.920 0.250 1
La3 La 0.426 0.080 0.750 1
La4 La 0.920 0.574 0.750 1
La5 La 0.000 0.000 0.000 1
La6 La 0.000 0.000 0.500 1
# * DFT total energy: -5.337 eV per atom
# * crystal system: orthorhombic
# * formation energy from raw total energies: -19.4 kcal/mol of atoms
# * space-group type: No. 63
# * magnetic moment: 0.000 μB per formula unit
# * calculated density: 4.32 g/cm3

---

(5)
# BaAc2RhO8 (GGA-PBE, optimized geometry)
data_BaAc2RhO8
_cell_length_a 4.538
_cell_length_b 5.652
_cell_length_c 7.672
_cell_angle_alpha 90.00
_cell_angle_beta 90.00
_cell_angle_gamma 93.08
_space_group_name_H-M_alt 'P 1'
_space_group_IT_number 1
loop_
_space_group_symop_operation_xyz
'x,y,z'
loop_
_atom_site_label
_atom_site_type_symbol
_atom_site_fract_x
_atom_site_fract_y
_atom_site_fract_z
_atom_site_occupancy
Ba1 Ba 0.000 0.000 0.500 1
Ac1 Ac 0.500 0.500 0.753 1
Ac2 Ac 0.500 0.500 0.247 1
Rh1 Rh 0.000 0.000 0.000 1
O1 O 0.035 0.756 0.184 1
O2 O 0.582 0.898 0.000 1
O3 O 0.965 0.244 0.184 1
O4 O 0.965 0.244 0.816 1
O5 O 0.418 0.102 0.000 1
O6 O 0.035 0.756 0.816 1
O7 O 0.496 0.734 0.500 1
O8 O 0.504 0.266 0.500 1
# * DFT total energy: -6.699 eV per atom
# * crystal system: monoclinic
# * formation energy from raw total energies: -44.6 kcal/mol of atoms
# * space-group type: No. 10
# * magnetic moment: 1.792 μB per formula unit
# * calculated density: 6.95 g/cm3

---

(6)
# Pu3ZnCo3 (GGA-PBE, optimized geometry)
data_Pu3ZnCo3
_cell_length_a 4.218
_cell_length_b 5.130
_cell_length_c 12.818
_cell_angle_alpha 90.06
_cell_angle_beta 89.90
_cell_angle_gamma 114.28
_space_group_name_H-M_alt 'P 1'
_space_group_IT_number 1
loop_
_space_group_symop_operation_xyz
'x,y,z'
loop_
_atom_site_label
_atom_site_type_symbol
_atom_site_fract_x
_atom_site_fract_y
_atom_site_fract_z
_atom_site_occupancy
Pu1 Pu 0.202 0.403 0.893 1
Pu2 Pu 0.798 0.597 0.107 1
Pu3 Pu 0.201 0.403 0.606 1
Pu4 Pu 0.799 0.597 0.394 1
Pu5 Pu 0.490 0.980 0.750 1
Pu6 Pu 0.510 0.020 0.250 1
Zn1 Zn 0.500 0.000 0.000 1
Zn2 Zn 0.500 0.000 0.500 1
Co1 Co 0.912 0.823 0.913 1
Co2 Co 0.088 0.177 0.087 1
Co3 Co 0.911 0.823 0.587 1
Co4 Co 0.089 0.177 0.413 1
Co5 Co 0.781 0.562 0.750 1
Co6 Co 0.219 0.438 0.250 1
# * DFT total energy: -9.456 eV per atom
# * crystal system: monoclinic
# * ΔH_f (0 K): -0.086 eV/atom
# * space-group type: No. 15
# * magnetic moment: 14.499 μB per formula unit
# * calculated density: 12.80 g/cm3